1.
Compound: Ba2SrTaNb
Source: Alexandria via LeMat-Bulk
Functional: PBE-GGA
Structure: relaxed

Lattice parameters (Å, degrees): 6.2152 6.2152 5.1742 90.00 90.00 90.00
With the nearest neighbours (Å) after each atom.
Space group P4/mmm (No. 123)
Symmetry-distinct sites (fractional):
Ba 0.0000 0.5000 0.0000  2 Sr 3.11
Sr 0.0000 0.0000 0.0000  2 Ta 2.59
Ta 0.0000 0.0000 0.5000  2 Sr 2.59
Nb 0.5000 0.5000 0.5000  8 Ba 4.04, 4 Ta 4.39

Computed properties:
Formation energy: 2.133 eV/atom

2.
Compound: BaSrNbTe2
Source: Alexandria via LeMat-Bulk
Functional: PBE-GGA
Structure: relaxed

Lattice parameters (Å, degrees): 5.6366 5.6366 5.5044 90.00 90.00 90.00
With the nearest neighbours (Å) after each atom.
Space group P4/mmm (No. 123)
Symmetry-distinct sites (fractional):
Ba 0.0000 0.0000 0.0000  8 Te 3.94, 4 Sr 3.99
Sr 0.5000 0.5000 0.0000  2 Nb 2.75
Nb 0.5000 0.5000 0.5000  2 Sr 2.75, 4 Te 2.82
Te 0.0000 0.5000 0.5000  2 Nb 2.82

Computed properties:
Formation energy without anion corrections: -250.8 meV per atom

3.
Compound: BaSr2TiNb
Source: Alexandria via LeMat-Bulk
Functional: PBE-GGA
Structure: relaxed

Lattice parameters (Å, degrees): 6.3433 6.3433 4.8205 90.00 90.00 90.00
With the nearest neighbours (Å) after each atom.
Space group P4/mmm (No. 123)
Symmetry-distinct sites (fractional):
Ba 0.0000 0.0000 0.0000  8 Sr 3.98
Sr 0.0000 0.5000 0.5000  2 Nb 3.17
Ti 0.5000 0.5000 0.0000  2 Nb 2.41
Nb 0.5000 0.5000 0.5000  2 Ti 2.41

Computed properties:
Formation energy: 0.698 eV/atom

Result set for final energy: -16.78, -21.21, -19.76 eV per cell, one per record in the order listed.
Result set for ρ: 5.28, 5.44, 3.88 g/cm3, one per record in the order listed.